[1]
! Sr2PuPN5 (PBE-GGA, optimized geometry); values from VASP
&SYSTEM
  ibrav = 0, nat = 18, ntyp = 4
/
ATOMIC_SPECIES
N 14.01 N.upf
Sr 87.62 Sr.upf
Pu 244.00 Pu.upf
P 30.97 P.upf
CELL_PARAMETERS angstrom
3.400 0.000 0.000
-1.700 7.096 0.000
0.000 0.000 11.480
ATOMIC_POSITIONS angstrom
N 0.000 0.585 11.434
N 0.000 4.729 0.156
N 0.000 4.152 7.528
N 1.700 2.944 1.788
N 1.700 0.010 9.155
N 1.700 2.497 10.434
N 0.000 4.600 4.693
N 1.700 6.511 5.694
N 0.000 7.087 3.414
N 1.700 2.367 5.896
Sr 1.700 5.143 9.601
Sr 0.000 1.954 3.860
Sr 1.700 5.745 1.859
Sr 0.000 1.351 7.599
Pu 1.700 4.275 6.215
Pu 0.000 2.822 0.475
P 0.000 6.246 4.741
P 1.700 0.851 10.481
! - Crystal system: orthorhombic

[2]
! SrPuPN (PBE-GGA, optimized geometry); values from VASP
&SYSTEM
  ibrav = 0, nat = 4, ntyp = 4
/
ATOMIC_SPECIES
P 30.97 P.upf
Sr 87.62 Sr.upf
Pu 244.00 Pu.upf
N 14.01 N.upf
CELL_PARAMETERS angstrom
-1.841 -2.718 2.859
-0.810 -3.135 -3.502
3.272 -3.310 -1.041
ATOMIC_POSITIONS angstrom
P 0.770 -5.583 -1.676
Sr -1.792 -2.646 2.783
Pu -0.051 -3.435 -0.161
N -0.971 -4.794 1.269
! - Crystal system: hexagonal

[3]
! PuTiP2N6 (PBE-GGA, optimized geometry); values from VASP
&SYSTEM
  ibrav = 0, nat = 20, ntyp = 4
/
ATOMIC_SPECIES
N 14.01 N.upf
Pu 244.00 Pu.upf
P 30.97 P.upf
Ti 47.87 Ti.upf
CELL_PARAMETERS angstrom
-3.847 -3.544 1.793
0.140 -5.322 -4.374
3.271 -4.394 4.179
ATOMIC_POSITIONS angstrom
N -0.381 -8.750 0.673
N 1.920 -9.265 -0.787
N 1.808 -6.899 0.502
N -0.039 -7.395 -1.348
N -2.243 -6.361 1.095
N -0.396 -5.865 2.946
N -2.355 -3.995 2.385
N -0.579 -8.757 3.326
N 0.144 -4.503 -1.729
N -1.128 -2.430 -0.413
N -0.054 -4.510 0.924
N 0.693 -10.830 2.011
Pu -0.487 -6.109 -3.013
Pu 0.052 -7.151 4.611
P 0.896 -8.109 -0.232
P -1.330 -5.151 1.829
P 0.092 -3.527 -0.435
P -0.527 -9.733 2.032
Ti -1.836 -7.711 -0.547
Ti 1.401 -5.549 2.145
! - Crystal system: monoclinic

[4]
! Pu3TlP4N12 (PBE-GGA, optimized geometry); values from VASP
&SYSTEM
  ibrav = 0, nat = 20, ntyp = 4
/
ATOMIC_SPECIES
Tl 204.38 Tl.upf
N 14.01 N.upf
P 30.97 P.upf
Pu 244.00 Pu.upf
CELL_PARAMETERS angstrom
-4.742 -2.304 -4.515
5.978 -2.120 -2.818
-0.779 -4.300 5.392
ATOMIC_POSITIONS angstrom
Tl 0.000 0.000 0.000
N -3.579 -4.458 -2.973
N 3.830 -3.998 -3.297
N 4.601 -4.287 -0.279
N -4.012 -4.404 -0.242
N -0.351 -4.070 -2.420
N 1.797 -4.335 -0.722
N -2.528 -5.251 2.378
N -1.388 -3.548 -5.011
N 2.946 -4.617 2.356
N -0.760 -4.681 0.231
N 1.700 -3.089 -4.808
N 0.485 -5.606 3.141
P 3.233 -3.392 -4.621
P 0.229 -4.362 -0.970
P -4.538 -4.444 -1.725
P 1.990 -5.250 3.435
Pu -2.545 -3.411 0.978
Pu 2.968 -3.091 0.839
Pu 0.034 -2.222 -3.759
! - Crystal system: trigonal

Number 1: density 6.24 g/cm³, final energy -7.896 eV/atom, DOS at the Fermi energy 0.434 states/eV per atom. Number 2: density 7.29 g/cm³, final energy -8.297 eV/atom, DOS at the Fermi energy 1.742 states/eV per atom. Number 3: density 6.00 g/cm³, final energy -9.055 eV/atom, DOS at the Fermi energy 0.551 states/eV per atom. Number 4: density 6.70 g/cm³, final energy -8.675 eV/atom, DOS at the Fermi energy 0.706 states/eV per atom.